No. 1
# GGA-PBE NaYb3, relaxed
# polymorph energy (0 for the lowest one): 0.012 eV per atom
# volume: 37.22 Å³/atom
# D(E_F): 188.47 states/eV/cell
# formation energy: 0.027 eV per atom
data_NaYb3
_chemical_formula_sum 'Na4 Yb12'
_cell_length_a 8.4131
_cell_length_b 8.4131
_cell_length_c 8.4131
_cell_angle_alpha 90.00
_cell_angle_beta 90.00
_cell_angle_gamma 90.00
_space_group_name_H-M_alt 'F m -3 m'
_space_group_IT_number 225
_space_group_name_Hall '-F 4 2 3'
loop_
_atom_site_label
_atom_site_type_symbol
_atom_site_fract_x
_atom_site_fract_y
_atom_site_fract_z
Na1 Na 0.0000 0.0000 0.0000
Yb1 Yb 0.0000 0.0000 0.5000
Yb2 Yb 0.2500 0.2500 0.2500

No. 2
# GGA-PBE Na4Sc3CrS8, relaxed
# formation energy from raw total energies: -2354.8 kJ/mol of formula units
# volume: 19.80 Å³/atom
data_Na4Sc3CrS8
_chemical_formula_sum 'Na12 Sc9 Cr3 S24'
_cell_length_a 7.4340
_cell_length_b 7.4340
_cell_length_c 19.8532
_cell_angle_alpha 90.00
_cell_angle_beta 90.00
_cell_angle_gamma 120.00
_space_group_name_H-M_alt 'R -3 m'
_space_group_IT_number 166
_space_group_name_Hall '-R 3 2"'
loop_
_atom_site_label
_atom_site_type_symbol
_atom_site_fract_x
_atom_site_fract_y
_atom_site_fract_z
Na1 Na 0.0000 0.0000 0.0000
Na2 Na 0.0000 0.5000 0.0000
Sc1 Sc 0.0000 0.5000 0.5000
Cr1 Cr 0.0000 0.0000 0.5000
S1 S 0.0000 0.0000 0.2392
S2 S 0.0130 0.5065 0.2369

No. 3
# GGA-PBE NaTbTeSe, relaxed
# formation energy from raw total energies: -564.5 kJ/mol of formula units
# volume: 29.98 Å³/atom
data_NaTbTeSe
_chemical_formula_sum 'Na3 Tb3 Te3 Se3'
_cell_length_a 4.2590
_cell_length_b 4.2590
_cell_length_c 22.9002
_cell_angle_alpha 90.00
_cell_angle_beta 90.00
_cell_angle_gamma 120.00
_space_group_name_H-M_alt 'R 3 m'
_space_group_IT_number 160
_space_group_name_Hall 'R 3 -2"'
loop_
_atom_site_label
_atom_site_type_symbol
_atom_site_fract_x
_atom_site_fract_y
_atom_site_fract_z
Na1 Na 0.0000 0.0000 0.0000
Tb1 Tb 0.0000 0.0000 0.1609
Te1 Te 0.0000 0.0000 0.5759
Se1 Se 0.0000 0.0000 0.7593

No. 4
# GGA-PBE BaP2W2, relaxed
# polymorph energy (0 for the lowest one): 0.000 eV per atom
# volume: 21.20 Å³/atom
# D(E_F): 5.02 states/eV/cell
# formation energy: -0.482 eV per atom
data_BaP2W2
_chemical_formula_sum 'Ba2 P4 W4'
_cell_length_a 3.8889
_cell_length_b 3.8889
_cell_length_c 14.0186
_cell_angle_alpha 90.00
_cell_angle_beta 90.00
_cell_angle_gamma 90.00
_space_group_name_H-M_alt 'I 4/m m m'
_space_group_IT_number 139
_space_group_name_Hall '-I 4 2'
loop_
_atom_site_label
_atom_site_type_symbol
_atom_site_fract_x
_atom_site_fract_y
_atom_site_fract_z
Ba1 Ba 0.0000 0.0000 0.0000
P1 P 0.0000 0.0000 0.3634
W1 W 0.0000 0.5000 0.2500

No. 5
# GGA-PBE BaLaMg2, relaxed
# volume: 35.57 Å³/atom
# D(E_F): 4.14 states/eV/cell
# formation energy: 0.059 eV per atom
data_BaLaMg2
_chemical_formula_sum 'Ba1 La1 Mg2'
_cell_length_a 3.9613
_cell_length_b 3.9613
_cell_length_c 9.0678
_cell_angle_alpha 90.00
_cell_angle_beta 90.00
_cell_angle_gamma 90.00
_space_group_name_H-M_alt 'P 4 m m'
_space_group_IT_number 99
_space_group_name_Hall 'P 4 -2'
loop_
_atom_site_label
_atom_site_type_symbol
_atom_site_fract_x
_atom_site_fract_y
_atom_site_fract_z
Ba1 Ba 0.0000 0.0000 0.0000
La1 La 0.5000 0.5000 0.3395
Mg1 Mg 0.0000 0.0000 0.5595
Mg2 Mg 0.5000 0.5000 0.7237

No. 6
# GGA-PBE YScAlGa, relaxed
# volume: 21.28 Å³/atom
# D(E_F): 7.68 states/eV/cell
# formation energy: -0.484 eV per atom
data_YScAlGa
_chemical_formula_sum 'Y4 Sc4 Al4 Ga4'
_cell_length_a 6.9832
_cell_length_b 6.9832
_cell_length_c 6.9832
_cell_angle_alpha 90.00
_cell_angle_beta 90.00
_cell_angle_gamma 90.00
_space_group_name_H-M_alt 'F -4 3 m'
_space_group_IT_number 216
_space_group_name_Hall 'F -4 2 3'
loop_
_atom_site_label
_atom_site_type_symbol
_atom_site_fract_x
_atom_site_fract_y
_atom_site_fract_z
Y1 Y 0.0000 0.0000 0.0000
Sc1 Sc 0.0000 0.0000 0.5000
Al1 Al 0.2500 0.2500 0.7500
Ga1 Ga 0.2500 0.2500 0.2500

No. 7
# GGA-PBE HgGe3Au, relaxed
# polymorph energy (0 for the lowest one): 0.000 eV per atom
# volume: 26.37 Å³/atom
# D(E_F): 3.52 states/eV/cell
# formation energy: 0.569 eV per atom
data_HgGe3Au
_chemical_formula_sum 'Hg1 Ge3 Au1'
_cell_length_a 5.0894
_cell_length_b 5.0894
_cell_length_c 5.0894
_cell_angle_alpha 90.00
_cell_angle_beta 90.00
_cell_angle_gamma 90.00
_space_group_name_H-M_alt 'P m -3 m'
_space_group_IT_number 221
_space_group_name_Hall '-P 4 2 3'
loop_
_atom_site_label
_atom_site_type_symbol
_atom_site_fract_x
_atom_site_fract_y
_atom_site_fract_z
Hg1 Hg 0.0000 0.0000 0.0000
Ge1 Ge 0.0000 0.5000 0.5000
Au1 Au 0.5000 0.5000 0.5000

No. 8
# GGA-PBE ZnCr2Si, relaxed
# formation energy from raw total energies: 24.2 kJ/mol of formula units
# volume: 12.46 Å³/atom
# D(E_F): 5.90 states/eV/cell
data_ZnCr2Si
_chemical_formula_sum 'Zn2 Cr4 Si2'
_cell_length_a 3.0551
_cell_length_b 4.0610
_cell_length_c 8.0339
_cell_angle_alpha 90.00
_cell_angle_beta 90.00
_cell_angle_gamma 90.00
_space_group_name_H-M_alt 'I m m 2'
_space_group_IT_number 44
_space_group_name_Hall 'I 2 -2'
loop_
_atom_site_label
_atom_site_type_symbol
_atom_site_fract_x
_atom_site_fract_y
_atom_site_fract_z
Zn1 Zn 0.0000 0.0000 0.0000
Cr1 Cr 0.0000 0.0000 0.4900
Cr2 Cr 0.0000 0.5000 0.7655
Si1 Si 0.0000 0.5000 0.2387

No. 9
# GGA-PBE Sm2Al4SiAu3, relaxed
# formation energy from raw total energies: -641.6 kJ/mol of formula units
# volume: 19.91 Å³/atom
# D(E_F): 2.96 states/eV/cell
data_Sm2Al4SiAu3
_chemical_formula_sum 'Sm2 Al4 Si1 Au3'
_cell_length_a 4.3784
_cell_length_b 4.3784
_cell_length_c 10.3876
_cell_angle_alpha 90.00
_cell_angle_beta 90.00
_cell_angle_gamma 90.00
_space_group_name_H-M_alt 'P -4 m 2'
_space_group_IT_number 115
_space_group_name_Hall 'P -4 -2'
loop_
_atom_site_label
_atom_site_type_symbol
_atom_site_fract_x
_atom_site_fract_y
_atom_site_fract_z
Sm1 Sm 0.0000 0.5000 0.2431
Al1 Al 0.0000 0.0000 0.5000
Al2 Al 0.0000 0.5000 0.8697
Al3 Al 0.5000 0.5000 0.5000
Si1 Si 0.5000 0.5000 0.0000
Au1 Au 0.0000 0.0000 0.0000
Au2 Au 0.0000 0.5000 0.6319

No. 10
# GGA-PBE Dy5Ho5In, relaxed
# volume: 32.09 Å³/atom
# D(E_F): 20.51 states/eV/cell
# formation energy: 0.307 eV per atom
data_Dy5Ho5In
_chemical_formula_sum 'Dy5 Ho5 In1'
_cell_length_a 6.0372
_cell_length_b 6.0372
_cell_length_c 11.1844
_cell_angle_alpha 90.00
_cell_angle_beta 90.00
_cell_angle_gamma 120.00
_space_group_name_H-M_alt 'P -6 m 2'
_space_group_IT_number 187
_space_group_name_Hall 'P -6 2'
loop_
_atom_site_label
_atom_site_type_symbol
_atom_site_fract_x
_atom_site_fract_y
_atom_site_fract_z
Dy1 Dy 0.0000 0.0000 0.0000
Dy2 Dy 0.3333 0.6667 0.2969
Dy3 Dy 0.6667 0.3333 0.1769
Ho1 Ho 0.0000 0.0000 0.2659
Ho2 Ho 0.3374 0.1687 0.5000
In1 In 0.3333 0.6667 0.0000

No. 11
# GGA-PBE ScGe2Pd, relaxed
# volume: 17.87 Å³/atom
# D(E_F): 6.36 states/eV/cell
# formation energy: -0.588 eV per atom
data_ScGe2Pd
_chemical_formula_sum 'Sc3 Ge6 Pd3'
_cell_length_a 4.1720
_cell_length_b 4.1720
_cell_length_c 14.2301
_cell_angle_alpha 90.00
_cell_angle_beta 90.00
_cell_angle_gamma 120.00
_space_group_name_H-M_alt 'R -3 m'
_space_group_IT_number 166
_space_group_name_Hall '-R 3 2"'
loop_
_atom_site_label
_atom_site_type_symbol
_atom_site_fract_x
_atom_site_fract_y
_atom_site_fract_z
Sc1 Sc 0.0000 0.0000 0.0000
Ge1 Ge 0.0000 0.0000 0.2306
Pd1 Pd 0.0000 0.0000 0.5000

No. 12
# GGA-PBE BaIn2Ag2, relaxed
# volume: 26.28 Å³/atom
# D(E_F): 5.75 states/eV/cell
# formation energy: -0.091 eV per atom
data_BaIn2Ag2
_chemical_formula_sum 'Ba2 In4 Ag4'
_cell_length_a 8.7594
_cell_length_b 8.7594
_cell_length_c 3.4254
_cell_angle_alpha 90.00
_cell_angle_beta 90.00
_cell_angle_gamma 90.00
_space_group_name_H-M_alt 'P 4/m b m'
_space_group_IT_number 127
_space_group_name_Hall '-P 4 2ab'
loop_
_atom_site_label
_atom_site_type_symbol
_atom_site_fract_x
_atom_site_fract_y
_atom_site_fract_z
Ba1 Ba 0.0000 0.0000 0.0000
In1 In 0.1645 0.3355 0.5000
Ag1 Ag 0.1216 0.6216 0.0000

Q: Which value of volume does entry 7 give?
A: 26.37 Å³/atom

Q: volume of number 3 (NaTbTeSe)?
A: 29.98 Å³/atom

Repeat the ninth record exactly.
# GGA-PBE Sm2Al4SiAu3, relaxed
# formation energy from raw total energies: -641.6 kJ/mol of formula units
# volume: 19.91 Å³/atom
# D(E_F): 2.96 states/eV/cell
data_Sm2Al4SiAu3
_chemical_formula_sum 'Sm2 Al4 Si1 Au3'
_cell_length_a 4.3784
_cell_length_b 4.3784
_cell_length_c 10.3876
_cell_angle_alpha 90.00
_cell_angle_beta 90.00
_cell_angle_gamma 90.00
_space_group_name_H-M_alt 'P -4 m 2'
_space_group_IT_number 115
_space_group_name_Hall 'P -4 -2'
loop_
_atom_site_label
_atom_site_type_symbol
_atom_site_fract_x
_atom_site_fract_y
_atom_site_fract_z
Sm1 Sm 0.0000 0.5000 0.2431
Al1 Al 0.0000 0.0000 0.5000
Al2 Al 0.0000 0.5000 0.8697
Al3 Al 0.5000 0.5000 0.5000
Si1 Si 0.5000 0.5000 0.0000
Au1 Au 0.0000 0.0000 0.0000
Au2 Au 0.0000 0.5000 0.6319

Q: volume of number 11 (ScGe2Pd)?
A: 17.87 Å³/atom